[1]
First-principles (PBE) data for a geometry-optimized Sm3Ge3Ru structure, as listed in the Alexandria database.

Properties
D(E_F) = 9.682 states/eV/cell
Energy relative to the elements = -76.78 kJ/mol of atoms
Total magnetization = 0.0 μB per formula unit
Raw total energy = -85.71 eV per cell
Mass density = 8.07 g/cm³

abc: 5.9270 5.9270 14.1583
angles: 109.47 109.47 43.04
Atoms (fractional coordinates):
Sm  0.0235  0.0235  0.3774
Sm  0.0989  0.0989  0.9198
Sm  0.2447  0.2447  0.2300
Sm  0.7553  0.7553  0.7700
Sm  0.9011  0.9011  0.0802
Sm  0.9765  0.9765  0.6226
Ge  0.3599  0.3599  0.4548
Ge  0.3797  0.3797  0.9258
Ge  0.4497  0.4497  0.7597
Ge  0.5503  0.5503  0.2403
Ge  0.6203  0.6203  0.0742
Ge  0.6401  0.6401  0.5452
Ru  0.2551  0.2551  0.5854
Ru  0.7449  0.7449  0.4146

***

[2]
First-principles (PBE) data for a geometry-optimized SmGe2Ru2 structure, as listed in the Alexandria database.

Properties
D(E_F) = 4.887 states/eV/cell
Energy relative to the elements = -64.10 kJ/mol of atoms
Total magnetization = 0.0 μB per formula unit
Raw total energy = -71.65 eV per cell
Mass density = 9.01 g/cm³

abc: 4.2848 4.2848 9.9892
angles: 90.00 90.00 90.00
Atoms (fractional coordinates):
Sm  0.0000  0.0000  0.0000
Sm  0.5000  0.5000  0.5000
Ge  0.0000  0.0000  0.3685
Ge  0.0000  0.0000  0.6315
Ge  0.5000  0.5000  0.1315
Ge  0.5000  0.5000  0.8685
Ru  0.0000  0.5000  0.2500
Ru  0.0000  0.5000  0.7500
Ru  0.5000  0.0000  0.2500
Ru  0.5000  0.0000  0.7500

***

[3]
First-principles (PBE) data for a geometry-optimized Sm4Ge6Ru7 structure, as listed in the Alexandria database.

Properties
D(E_F) = 10.685 states/eV/cell
Energy relative to the elements = -54.32 kJ/mol of atoms
Total magnetization = 0.0 μB per formula unit
Raw total energy = -121.08 eV per cell
Mass density = 9.55 g/cm³

abc: 7.3323 7.3323 7.3323
angles: 109.47 109.47 109.47
Atoms (fractional coordinates):
Sm  0.0000  0.0000  0.5000
Sm  0.0000  0.5000  0.0000
Sm  0.5000  0.0000  0.0000
Sm  0.5000  0.5000  0.5000
Ge  0.0000  0.3195  0.3195
Ge  0.0000  0.6805  0.6805
Ge  0.3195  0.0000  0.3195
Ge  0.3195  0.3195  0.0000
Ge  0.6805  0.0000  0.6805
Ge  0.6805  0.6805  0.0000
Ru  0.0000  0.0000  0.0000
Ru  0.2500  0.5000  0.7500
Ru  0.2500  0.7500  0.5000
Ru  0.5000  0.2500  0.7500
Ru  0.5000  0.7500  0.2500
Ru  0.7500  0.2500  0.5000
Ru  0.7500  0.5000  0.2500

***

[4]
First-principles (PBE) data for a geometry-optimized SmGe2Ru structure, as listed in the Alexandria database.

Properties
D(E_F) = 7.234 states/eV/cell
Energy relative to the elements = -62.83 kJ/mol of atoms
Total magnetization = 0.0 μB per formula unit
Raw total energy = -103.34 eV per cell
Mass density = 8.38 g/cm³

abc: 7.1028 4.2944 10.3054
angles: 90.00 90.00 90.00
Atoms (fractional coordinates):
Sm  0.1702  0.2500  0.1284
Sm  0.3298  0.7500  0.6284
Sm  0.6702  0.2500  0.3716
Sm  0.8298  0.7500  0.8716
Ge  0.1298  0.2500  0.8210
Ge  0.1911  0.2500  0.4244
Ge  0.3089  0.7500  0.9244
Ge  0.3702  0.7500  0.3210
Ge  0.6298  0.2500  0.6790
Ge  0.6911  0.2500  0.0756
Ge  0.8089  0.7500  0.5756
Ge  0.8702  0.7500  0.1790
Ru  0.0187  0.7500  0.3905
Ru  0.4813  0.2500  0.8905
Ru  0.5187  0.7500  0.1095
Ru  0.9813  0.2500  0.6095

***

Q: Which of these has the lowest D(E_F)?
A: SmGe2Ru2

***

Q: The highest D(E_F) belongs to which entry?
A: Sm4Ge6Ru7

***

Q: The lowest energy relative to the elements belongs to which entry?
A: Sm3Ge3Ru